# CsTlS GGA-PBE optimized geometry
# E_form (uncorrected) = -2.2 eV/f.u.
# distance to the lowest polymorph of the same formula = 9.6 meV/atom
# M_tot = 0.0 μB/f.u.
data_CsTlS
_chemical_formula_sum 'Cs2 Tl2 S2'
_cell_length_a 7.0055
_cell_length_b 4.6844
_cell_length_c 8.0115
_cell_angle_alpha 90.00
_cell_angle_beta 114.74
_cell_angle_gamma 90.00
_symmetry_space_group_name_H-M 'P 1 21/m 1'
_symmetry_Int_Tables_number 11
loop_
_symmetry_equiv_pos_as_xyz
'x,y,z'
'-x,-y,-z'
'-x,y+1/2,-z'
'x,-y+1/2,z'
loop_
_atom_site_label
_atom_site_fract_x
_atom_site_fract_y
_atom_site_fract_z
Cs1 0.2056 0.2500 0.3928
Tl1 0.2622 0.2500 0.9274
S1 0.3642 0.7500 0.7461

=====

# CaTlHBr2 GGA-PBE optimized geometry
# total DFT energy (no corrections) = -3.26 eV per atom
# M_tot = 0.0 μB/f.u.
data_CaTlHBr2
_chemical_formula_sum 'Ca1 Tl1 H1 Br2'
_cell_length_a 5.8115
_cell_length_b 5.8115
_cell_length_c 4.2999
_cell_angle_alpha 90.00
_cell_angle_beta 90.00
_cell_angle_gamma 90.00
_symmetry_space_group_name_H-M 'P 4/m m m'
_symmetry_Int_Tables_number 123
_symmetry_space_group_name_Hall '-P 4 2'
loop_
_atom_site_label
_atom_site_fract_x
_atom_site_fract_y
_atom_site_fract_z
Ca1 0.0000 0.0000 0.0000
Tl1 0.5000 0.5000 0.5000
H1 0.0000 0.0000 0.5000
Br1 0.0000 0.5000 0.0000

=====

# SrHf2Ni2 GGA-PBE optimized geometry
# distance to the lowest polymorph of the same formula = 222.3 meV/atom
# M_tot = 0.8 μB/f.u.
# energy of formation = 104.3 meV/atom
data_SrHf2Ni2
_chemical_formula_sum 'Sr2 Hf4 Ni4'
_cell_length_a 4.6983
_cell_length_b 4.6983
_cell_length_c 10.3518
_cell_angle_alpha 90.00
_cell_angle_beta 90.00
_cell_angle_gamma 90.00
_symmetry_space_group_name_H-M 'I 4/m m m'
_symmetry_Int_Tables_number 139
_symmetry_space_group_name_Hall '-I 4 2'
loop_
_atom_site_label
_atom_site_fract_x
_atom_site_fract_y
_atom_site_fract_z
Sr1 0.0000 0.0000 0.0000
Hf1 0.0000 0.0000 0.3426
Ni1 0.0000 0.5000 0.2500

=====

# ReSn3Pd GGA-PBE optimized geometry
# distance to the lowest polymorph of the same formula = 0.0 meV/atom
# M_tot = 0.0 μB/f.u.
# energy of formation = 518.3 meV/atom
data_ReSn3Pd
_chemical_formula_sum 'Re1 Sn3 Pd1'
_cell_length_a 5.1448
_cell_length_b 5.1448
_cell_length_c 5.1448
_cell_angle_alpha 90.00
_cell_angle_beta 90.00
_cell_angle_gamma 90.00
_symmetry_space_group_name_H-M 'P m -3 m'
_symmetry_Int_Tables_number 221
_symmetry_space_group_name_Hall '-P 4 2 3'
loop_
_atom_site_label
_atom_site_fract_x
_atom_site_fract_y
_atom_site_fract_z
Re1 0.0000 0.0000 0.0000
Sn1 0.0000 0.0000 0.5000
Pd1 0.5000 0.5000 0.5000

=====

# Ba2MnHg GGA-PBE optimized geometry
# distance to the lowest polymorph of the same formula = 23.6 meV/atom
# M_tot = 3.5 μB/f.u.
# energy of formation = 65.4 meV/atom
data_Ba2MnHg
_chemical_formula_sum 'Ba4 Mn2 Hg2'
_cell_length_a 4.8842
_cell_length_b 5.0483
_cell_length_c 12.3921
_cell_angle_alpha 90.00
_cell_angle_beta 90.00
_cell_angle_gamma 90.00
_symmetry_space_group_name_H-M 'A m m 2'
_symmetry_Int_Tables_number 38
loop_
_symmetry_equiv_pos_as_xyz
'x,y,z'
'-x,-y,z'
'-x,y,z'
'x,-y,z'
'x,y+1/2,z+1/2'
'-x,-y+1/2,z+1/2'
'-x,y+1/2,z+1/2'
'x,-y+1/2,z+1/2'
loop_
_atom_site_label
_atom_site_fract_x
_atom_site_fract_y
_atom_site_fract_z
Ba1 0.0000 0.0000 0.0000
Ba2 0.5000 0.0000 0.2903
Mn1 0.5000 0.0000 0.5965
Hg1 0.0000 0.0000 0.7059

=====

# Re2TcAs GGA-PBE optimized geometry
# M_tot = 0.0 μB/f.u.
# energy of formation = 574.1 meV/atom
data_Re2TcAs
_chemical_formula_sum 'Re2 Tc1 As1'
_cell_length_a 3.6831
_cell_length_b 3.6831
_cell_length_c 4.4897
_cell_angle_alpha 90.00
_cell_angle_beta 90.00
_cell_angle_gamma 90.00
_symmetry_space_group_name_H-M 'P 4/m m m'
_symmetry_Int_Tables_number 123
_symmetry_space_group_name_Hall '-P 4 2'
loop_
_atom_site_label
_atom_site_fract_x
_atom_site_fract_y
_atom_site_fract_z
Re1 0.0000 0.5000 0.0000
Tc1 0.0000 0.0000 0.5000
As1 0.5000 0.5000 0.5000